Entry from Alexandria via LeMat-Bulk: a relaxed AcLaMgZn crystal (PBE).

Computed properties:
Uncorrected energy ... -3.128 eV per atom
Total magnetic moment ... 0.00 μB/cell
Space group ... F-43m (216)
Energy relative to the lowest polymorph listed for this composition ... 0.032 eV per atom

Unit cell a=7.8622 b=7.8622 c=7.8622 alpha=90.00 beta=90.00 gamma=90.00
Last column: nearest neighbours and their distance in Å.
Sites, in units of the cell vectors:
Ac 0.0000 0.0000 0.0000  4 Zn 3.40, 4 Mg 3.40
Ac 0.0000 0.5000 0.5000  4 Zn 3.40, 4 Mg 3.40
Ac 0.5000 0.0000 0.5000  4 Zn 3.40, 4 Mg 3.40
Ac 0.5000 0.5000 0.0000  4 Zn 3.40, 4 Mg 3.40
La 0.0000 0.0000 0.5000  4 Mg 3.40, 4 Zn 3.40
La 0.0000 0.5000 0.0000  4 Mg 3.40, 4 Zn 3.40
La 0.5000 0.0000 0.0000  4 Mg 3.40, 4 Zn 3.40
La 0.5000 0.5000 0.5000  4 Mg 3.40, 4 Zn 3.40
Mg 0.2500 0.2500 0.2500  4 Ac 3.40, 4 La 3.40
Mg 0.2500 0.7500 0.7500  4 Ac 3.40, 4 La 3.40
Mg 0.7500 0.2500 0.7500  4 Ac 3.40, 4 La 3.40
Mg 0.7500 0.7500 0.2500  4 Ac 3.40, 4 La 3.40
Zn 0.2500 0.2500 0.7500  4 Ac 3.40, 4 La 3.40
Zn 0.2500 0.7500 0.2500  4 Ac 3.40, 4 La 3.40
Zn 0.7500 0.2500 0.2500  4 Ac 3.40, 4 La 3.40
Zn 0.7500 0.7500 0.7500  4 Ac 3.40, 4 La 3.40


Entry from Alexandria via LeMat-Bulk: a relaxed AcLa3Mn crystal (PBE).

Computed properties:
Uncorrected energy ... -5.412 eV per atom
Total magnetic moment ... 0.25 μB/cell
Space group ... Pm-3m (221)

Unit cell a=5.5295 b=5.5295 c=5.5295 alpha=90.00 beta=90.00 gamma=90.00
Last column: nearest neighbours and their distance in Å.
Sites, in units of the cell vectors:
Ac 0.0000 0.0000 0.0000  12 La 3.91
La 0.0000 0.5000 0.5000  2 Mn 2.76
La 0.5000 0.0000 0.5000  2 Mn 2.76
La 0.5000 0.5000 0.0000  2 Mn 2.76
Mn 0.5000 0.5000 0.5000  6 La 2.76


Entry from Alexandria via LeMat-Bulk: a relaxed AcLa2Mn crystal (PBE).

Computed properties:
Uncorrected energy ... -5.606 eV per atom
Total magnetic moment ... 3.50 μB/cell
Space group ... P4/mmm (123)

Unit cell a=3.7787 b=3.7787 c=9.3095 alpha=90.00 beta=90.00 gamma=90.00
Last column: nearest neighbours and their distance in Å.
Sites, in units of the cell vectors:
Ac 0.0000 0.0000 0.0000  4 Ac 3.78, 8 La 3.91
La 0.5000 0.5000 0.3062  4 Mn 3.22, 1 La 3.61
La 0.5000 0.5000 0.6938  4 Mn 3.22, 1 La 3.61
Mn 0.0000 0.0000 0.5000  8 La 3.22


Entry from Alexandria via LeMat-Bulk: a relaxed AcLaMnN4 crystal (PBE).

Computed properties:
ΔE_f (raw) ... -89 kJ/mol of atoms
Uncorrected energy ... -8.284 eV per atom
Total magnetic moment ... 1.93 μB/cell
Space group ... P2_1/m (11)

Unit cell a=5.7763 b=5.5795 c=7.3574 alpha=90.00 beta=109.41 gamma=90.00
Last column: nearest neighbours and their distance in Å.
Sites, in units of the cell vectors:
Ac 0.2083 0.2500 0.4301  8 N 2.66-2.92
Ac 0.7917 0.7500 0.5699  8 N 2.66-2.92
La 0.2889 0.2500 0.9655  4 N 2.49-2.59
La 0.7111 0.7500 0.0345  4 N 2.49-2.59
Mn 0.2725 0.7500 0.2015  4 N 1.72-1.76
Mn 0.7275 0.2500 0.7985  4 N 1.72-1.76
N 0.0718 0.7500 0.3362  1 Mn 1.76
N 0.1168 0.7500 0.9572  1 Mn 1.72
N 0.4672 0.5063 0.2602  1 Mn 1.73
N 0.4672 0.9937 0.2602  1 Mn 1.73
N 0.5328 0.0063 0.7398  1 Mn 1.73
N 0.5328 0.4937 0.7398  1 Mn 1.73
N 0.8832 0.2500 0.0428  1 Mn 1.72
N 0.9282 0.2500 0.6638  1 Mn 1.76


Entry from Alexandria via LeMat-Bulk: a relaxed AcLa2MnN4 crystal (PBE).

Computed properties:
ΔE_f (raw) ... -95 kJ/mol of atoms
Uncorrected energy ... -8.040 eV per atom
Total magnetic moment ... 7.61 μB/cell
Space group ... Cmcm (63)

Unit cell a=6.3656 b=6.3656 c=12.4012 alpha=90.00 beta=90.00 gamma=146.94
Last column: nearest neighbours and their distance in Å.
Sites, in units of the cell vectors:
Ac 0.1006 0.8994 0.7500  6 N 2.77-2.95
Ac 0.8994 0.1006 0.2500  6 N 2.77-2.95
La 0.3687 0.6313 0.5452  6 N 2.48-2.74
La 0.3687 0.6313 0.9548  6 N 2.48-2.74
La 0.6313 0.3687 0.0452  6 N 2.48-2.74
La 0.6313 0.3687 0.4548  6 N 2.48-2.74
Mn 0.1721 0.8279 0.2500  4 N 1.88-2.07
Mn 0.8279 0.1721 0.7500  4 N 1.88-2.07
N 0.0000 0.0000 0.0000  4 La 2.48
N 0.0000 0.0000 0.5000  4 La 2.48
N 0.2730 0.7270 0.1353  1 Mn 1.88
N 0.2730 0.7270 0.3647  1 Mn 1.88
N 0.4104 0.5896 0.7500  2 Mn 2.07
N 0.5896 0.4104 0.2500  2 Mn 2.07
N 0.7270 0.2730 0.6353  1 Mn 1.88
N 0.7270 0.2730 0.8647  1 Mn 1.88


Entry from Alexandria via LeMat-Bulk: a relaxed Ac2LaMnSe6 crystal (PBE).

Computed properties:
ΔE_f (raw) ... -152 kJ/mol of atoms
Uncorrected energy ... -5.899 eV per atom
Total magnetic moment ... 8.00 μB/cell
Space group ... P2_1/c (14)

Unit cell a=7.0635 b=7.9430 c=12.3112 alpha=90.00 beta=123.30 gamma=90.00
Last column: nearest neighbours and their distance in Å.
Sites, in units of the cell vectors:
Ac 0.2059 0.1028 0.2459  6 Se 3.13-3.29
Ac 0.2059 0.3972 0.7459  6 Se 3.13-3.29
Ac 0.7941 0.6028 0.2541  6 Se 3.13-3.29
Ac 0.7941 0.8972 0.7541  6 Se 3.13-3.29
La 0.5000 0.0000 0.0000  6 Se 2.91-3.04
La 0.5000 0.5000 0.5000  6 Se 2.91-3.04
Mn 0.0000 0.0000 0.5000  6 Se 2.52-2.78
Mn 0.0000 0.5000 0.0000  6 Se 2.52-2.78
Se 0.1011 0.1921 0.9368  1 Mn 2.78, 1 La 2.91
Se 0.1011 0.3079 0.4368  1 Mn 2.78, 1 La 2.91
Se 0.2483 0.6685 0.9462  1 Mn 2.57
Se 0.2483 0.8315 0.4462  1 Mn 2.57
Se 0.3484 0.0307 0.7264  1 Mn 2.52
Se 0.3484 0.4693 0.2264  1 Mn 2.52
Se 0.6516 0.5307 0.7736  1 Mn 2.52
Se 0.6516 0.9693 0.2736  1 Mn 2.52
Se 0.7517 0.1685 0.5538  1 Mn 2.57
Se 0.7517 0.3315 0.0538  1 Mn 2.57
Se 0.8989 0.6921 0.5632  1 Mn 2.78, 1 La 2.91
Se 0.8989 0.8079 0.0632  1 Mn 2.78, 1 La 2.91


Q: Look up the uncorrected energy of the fourth one.
A: -8.284 eV per atom


Q: Among the records above, which one has the lowest total magnetic moment?
A: AcLaMgZn


Q: Among the records above, which one has the highest uncorrected energy?
A: AcLaMgZn


Q: What is the formula in the second record?
A: AcLa3Mn